(1)
# Ac2In4Hg3Au

A geometry-optimized Ac2In4Hg3Au structure (PBE-GGA, the Alexandria database).

Cell: 4.8404 4.8404 11.7476 Å, 90.00 90.00 90.00°
Last column: nearest neighbours and their distance in Å.
Positions (direct):
Ac  0.0000  0.5000  0.2359  8 In 3.67-3.93, 2 Au 3.68, 6 Hg 3.68-3.71
Ac  0.5000  0.0000  0.7641  8 In 3.67-3.93, 2 Au 3.68, 6 Hg 3.68-3.71
In  0.0000  0.0000  0.5000  4 Hg 2.94
In  0.0000  0.5000  0.8758  3 Hg 2.75-2.83, 2 Au 2.83
In  0.5000  0.0000  0.1242  3 Hg 2.75-2.83, 2 Au 2.83
In  0.5000  0.5000  0.5000  4 Hg 2.94
Hg  0.0000  0.0000  0.0000  4 In 2.83
Hg  0.0000  0.5000  0.6414  5 In 2.75-2.94
Hg  0.5000  0.0000  0.3586  5 In 2.75-2.94
Au  0.5000  0.5000  0.0000  4 In 2.83

Output
Density of states at the Fermi level ... 4.1 states/eV/cell
V ... 275.2 Å³ per cell
ρ ... 10.3 Mg/m³
Formation energy ... -387 meV/atom
VASP energy ... -2.7219 eV/atom

***

(2)
# Ac2In4HgAu3

A geometry-optimized Ac2In4HgAu3 structure (PBE-GGA, the Alexandria database).

Cell: 4.7844 4.7844 11.4332 Å, 90.00 90.00 90.00°
Last column: nearest neighbours and their distance in Å.
Positions (direct):
Ac  0.0000  0.5000  0.2445  8 In 3.61-3.78, 6 Au 3.67-3.68, 2 Hg 3.68
Ac  0.5000  0.0000  0.7555  8 In 3.61-3.78, 6 Au 3.67-3.68, 2 Hg 3.68
In  0.0000  0.0000  0.5000  4 Au 2.82
In  0.0000  0.5000  0.8655  3 Au 2.69-2.84, 2 Hg 2.84
In  0.5000  0.0000  0.1345  3 Au 2.69-2.84, 2 Hg 2.84
In  0.5000  0.5000  0.5000  4 Au 2.82
Hg  0.5000  0.5000  0.0000  4 In 2.84
Au  0.0000  0.0000  0.0000  4 In 2.84
Au  0.0000  0.5000  0.6306  5 In 2.69-2.82
Au  0.5000  0.0000  0.3694  5 In 2.69-2.82

Output
Density of states at the Fermi level ... 6.0 states/eV/cell
V ... 261.7 Å³ per cell
ρ ... 10.8 Mg/m³
Formation energy ... -521 meV/atom
VASP energy ... -3.4519 eV/atom

***

(3)
# Ac2HgIrAu

A geometry-optimized Ac2HgIrAu structure (PBE-GGA, the Alexandria database).

Cell: 4.4473 4.4473 14.4829 Å, 90.00 90.00 90.00°
Last column: nearest neighbours and their distance in Å.
Positions (direct):
Ac  0.2500  0.2500  0.1038  5 Ir 3.07-3.15
Ac  0.2500  0.2500  0.6982  1 Ir 2.80
Ac  0.7500  0.7500  0.3018  1 Ir 2.80
Ac  0.7500  0.7500  0.8962  5 Ir 3.07-3.15
Hg  0.2500  0.7500  0.5000  4 Hg 3.14, 4 Au 3.15
Hg  0.7500  0.2500  0.5000  4 Hg 3.14, 4 Au 3.15
Ir  0.2500  0.2500  0.8917  2 Ac 2.80-3.07
Ir  0.7500  0.7500  0.1083  2 Ac 2.80-3.07
Au  0.2500  0.2500  0.3461  4 Hg 3.15, 5 Ac 3.21-3.51
Au  0.7500  0.7500  0.6539  4 Hg 3.15, 5 Ac 3.21-3.51

Output
Density of states at the Fermi level ... 6.4 states/eV/cell
V ... 286.4 Å³ per cell
ρ ... 12.1 Mg/m³
Formation energy ... -605 meV/atom
VASP energy ... -4.7360 eV/atom

***

(4)
# KAcHgAu

A geometry-optimized KAcHgAu structure (PBE-GGA, the Alexandria database).

Cell: 7.8924 7.8924 7.8924 Å, 90.00 90.00 90.00°
Last column: nearest neighbours and their distance in Å.
Positions (direct):
K  0.0000  0.0000  0.0000  4 Au 3.42, 4 Hg 3.42
K  0.0000  0.5000  0.5000  4 Au 3.42, 4 Hg 3.42
K  0.5000  0.0000  0.5000  4 Au 3.42, 4 Hg 3.42
K  0.5000  0.5000  0.0000  4 Au 3.42, 4 Hg 3.42
Ac  0.0000  0.0000  0.5000  4 Hg 3.42, 4 Au 3.42
Ac  0.0000  0.5000  0.0000  4 Hg 3.42, 4 Au 3.42
Ac  0.5000  0.0000  0.0000  4 Hg 3.42, 4 Au 3.42
Ac  0.5000  0.5000  0.5000  4 Hg 3.42, 4 Au 3.42
Hg  0.2500  0.2500  0.2500  4 K 3.42, 4 Ac 3.42
Hg  0.2500  0.7500  0.7500  4 Ac 3.42, 4 K 3.42
Hg  0.7500  0.2500  0.7500  4 Ac 3.42, 4 K 3.42
Hg  0.7500  0.7500  0.2500  4 Ac 3.42, 4 K 3.42
Au  0.2500  0.2500  0.7500  4 Ac 3.42, 4 K 3.42
Au  0.2500  0.7500  0.2500  4 Ac 3.42, 4 K 3.42
Au  0.7500  0.2500  0.2500  4 Ac 3.42, 4 K 3.42
Au  0.7500  0.7500  0.7500  4 Ac 3.42, 4 K 3.42

Output
Density of states at the Fermi level ... 13.5 states/eV/cell
V ... 491.6 Å³ per cell
ρ ... 9.0 Mg/m³
Formation energy ... -353 meV/atom
VASP energy ... -2.5494 eV/atom

***

(5)
# Li2AcHgAu5

A geometry-optimized Li2AcHgAu5 structure (PBE-GGA, the Alexandria database).

Cell: 4.9523 4.9523 7.7273 Å, 90.00 90.00 90.00°
Last column: nearest neighbours and their distance in Å.
Positions (direct):
Li  0.0000  0.0000  0.1649  5 Au 2.52-2.59, 1 Li 2.55
Li  0.0000  0.0000  0.8351  5 Au 2.52-2.59, 1 Li 2.55
Ac  0.5000  0.5000  0.5000  12 Au 3.25-3.50
Hg  0.5000  0.5000  0.0000  8 Au 3.04
Au  0.0000  0.0000  0.5000  2 Li 2.59
Au  0.0000  0.5000  0.2281  2 Li 2.52
Au  0.0000  0.5000  0.7719  2 Li 2.52
Au  0.5000  0.0000  0.2281  2 Li 2.52
Au  0.5000  0.0000  0.7719  2 Li 2.52

Output
Density of states at the Fermi level ... 2.9 states/eV/cell
V ... 189.5 Å³ per cell
ρ ... 12.5 Mg/m³
Formation energy ... -395 meV/atom
VASP energy ... -3.1315 eV/atom

***

(6)
# LiAcHgAu

A geometry-optimized LiAcHgAu structure (PBE-GGA, the Alexandria database).

Cell: 8.2667 4.7822 5.8902 Å, 90.00 118.09 90.00°
Last column: nearest neighbours and their distance in Å.
Positions (direct):
Li  0.0000  0.0000  0.0000  3 Au 2.80-2.81, 3 Hg 2.90
Li  0.5000  0.5000  0.0000  3 Au 2.80-2.81, 3 Hg 2.90
Ac  0.0131  0.5000  0.5391  4 Hg 3.30-3.35, 4 Au 3.31-3.35, 3 Li 3.64-3.66
Ac  0.5131  0.0000  0.5391  4 Hg 3.30-3.35, 4 Au 3.31-3.35, 3 Li 3.64-3.66
Hg  0.2252  0.5000  0.1748  3 Li 2.90, 3 Au 3.10
Hg  0.7252  0.0000  0.1748  3 Li 2.90, 3 Au 3.10
Au  0.3005  0.0000  0.9024  3 Li 2.80-2.81, 3 Hg 3.10
Au  0.8005  0.5000  0.9024  3 Li 2.80-2.81, 3 Hg 3.10

Output
Density of states at the Fermi level ... 5.5 states/eV/cell
V ... 205.4 Å³ per cell
ρ ... 10.2 Mg/m³
Energy above the most stable polymorph in this dataset ... 0.0 meV/atom
Formation energy ... -569 meV/atom
VASP energy ... -2.9690 eV/atom